A plane-wave DFT calculation with PBE-GGA was carried out for LiSnHg2 after structural relaxation.

Values from the calculation:
energy: -1.693 eV per atom
theoretical density: 9.01 g/cm3
formation energy: -0.063 eV/atom
magnetic moment: 0.00 μB per cell

Unit cell a=7.8919 b=7.8919 c=6.2349 alpha=90.00 beta=90.00 gamma=90.00
Space group I-42d (No. 122)
One atom of each set of equivalent atoms:
Li  0.0000  0.0000  0.0000 [4 per cell]
Sn  0.0000  0.0000  0.5000 [4 per cell]
Hg  0.2229  0.2500  0.1250 [8 per cell]